1.
Computed, not measured: a relaxed MgScPb4 crystal at the PBE-GGA level of DFT.

Calculated values
E above lowest polymorph = 6.16 kcal/mol of atoms

The structure in CIF format:
```
data_MgScPb4
_chemical_formula_sum 'Mg1 Sc1 Pb4'
_cell_length_a 6.393
_cell_length_b 6.393
_cell_length_c 6.393
_cell_angle_alpha 60.00
_cell_angle_beta 60.00
_cell_angle_gamma 60.00
_symmetry_space_group_name_H-M 'P 1'
_symmetry_Int_Tables_number 1
loop_
_symmetry_equiv_pos_as_xyz
'x,y,z'
loop_
_atom_site_label
_atom_site_type_symbol
_atom_site_fract_x
_atom_site_fract_y
_atom_site_fract_z
Mg1 Mg 0.000 0.000 0.000
Sc1 Sc 0.250 0.250 0.250
Pb1 Pb 0.128 0.624 0.624
Pb2 Pb 0.624 0.128 0.624
Pb3 Pb 0.624 0.624 0.128
Pb4 Pb 0.624 0.624 0.624
```

---

2.
Computed, not measured: a relaxed Mg2ScPb crystal at the PBE-GGA level of DFT.

The structure in CIF format:
```
data_Mg2ScPb
_chemical_formula_sum 'Mg2 Sc1 Pb1'
_cell_length_a 10.900
_cell_length_b 10.900
_cell_length_c 10.900
_cell_angle_alpha 17.37
_cell_angle_beta 17.37
_cell_angle_gamma 17.37
_symmetry_space_group_name_H-M 'P 1'
_symmetry_Int_Tables_number 1
loop_
_symmetry_equiv_pos_as_xyz
'x,y,z'
loop_
_atom_site_label
_atom_site_type_symbol
_atom_site_fract_x
_atom_site_fract_y
_atom_site_fract_z
Mg1 Mg 0.000 0.000 0.000
Mg2 Mg 0.252 0.252 0.252
Sc1 Sc 0.746 0.746 0.746
Pb1 Pb 0.499 0.499 0.499
```

---

3.
Computed, not measured: a relaxed MgSc2Pb crystal at the PBE-GGA level of DFT.

The structure in CIF format:
```
data_MgSc2Pb
_chemical_formula_sum 'Mg1 Sc2 Pb1'
_cell_length_a 5.149
_cell_length_b 5.149
_cell_length_c 5.149
_cell_angle_alpha 60.00
_cell_angle_beta 60.00
_cell_angle_gamma 60.00
_symmetry_space_group_name_H-M 'P 1'
_symmetry_Int_Tables_number 1
loop_
_symmetry_equiv_pos_as_xyz
'x,y,z'
loop_
_atom_site_label
_atom_site_type_symbol
_atom_site_fract_x
_atom_site_fract_y
_atom_site_fract_z
Mg1 Mg 0.000 0.000 0.000
Sc1 Sc 0.250 0.250 0.250
Sc2 Sc 0.500 0.500 0.500
Pb1 Pb 0.750 0.750 0.750
```

---

| no. | total magnetic moment (μB per formula unit) | calculated formation energy (eV/atom) | final energy (eV per cell) |
| --- | --- | --- | --- |
| 1 | 0.0 | 0.20 | -21.55 |
| 2 | 0.0 | -0.01 | -13.25 |
| 3 | 0.9 | 0.07 | -17.69 |